# PuNpIrRu | the Alexandria database | PBE-GGA | optimized geometry
data_PuNpIrRu
_space_group_name_H-M_alt 'F -4 3 m'
_space_group_IT_number 216
_space_group_name_Hall 'F -4 2 3'
_cell_length_a 6.7936
_cell_length_b 6.7936
_cell_length_c 6.7936
_cell_angle_alpha 90.00
_cell_angle_beta 90.00
_cell_angle_gamma 90.00
loop_
_atom_site_label
_atom_site_fract_x
_atom_site_fract_y
_atom_site_fract_z
_atom_site_occupancy
Pu1 0.0000 0.0000 0.0000 1
Np1 0.0000 0.0000 0.5000 1
Ir1 0.2500 0.2500 0.7500 1
Ru1 0.2500 0.2500 0.2500 1
# Energy of formation from the pure elements (eV per atom): -0.201
# Energy above the most stable polymorph in this dataset (meV per atom): 12
# Uncorrected energy (eV for the cell shown): -184.861

# TaCo2Se | the Alexandria database | PBE-GGA | optimized geometry
data_TaCo2Se
_space_group_name_H-M_alt 'R 3 m'
_space_group_IT_number 160
_space_group_name_Hall 'R 3 -2"'
_cell_length_a 3.6022
_cell_length_b 3.6022
_cell_length_c 17.0594
_cell_angle_alpha 90.00
_cell_angle_beta 90.00
_cell_angle_gamma 120.00
loop_
_atom_site_label
_atom_site_fract_x
_atom_site_fract_y
_atom_site_fract_z
_atom_site_occupancy
Ta1 0.0000 0.0000 0.0000 1
Co1 0.0000 0.0000 0.4618 1
Co2 0.0000 0.0000 0.7405 1
Se1 0.0000 0.0000 0.2258 1
# ΔE_f (raw) (eV per atom): 0.158
# Uncorrected energy (eV for the cell shown): -86.755

# Y2TeAs | the Alexandria database | PBE-GGA | optimized geometry
data_Y2TeAs
_space_group_name_H-M_alt 'R -3 m'
_space_group_IT_number 166
_space_group_name_Hall '-R 3 2"'
_cell_length_a 4.2027
_cell_length_b 4.2027
_cell_length_c 21.2736
_cell_angle_alpha 90.00
_cell_angle_beta 90.00
_cell_angle_gamma 120.00
loop_
_atom_site_label
_atom_site_fract_x
_atom_site_fract_y
_atom_site_fract_z
_atom_site_occupancy
Y1 0.0000 0.0000 0.2391 1
Te1 0.0000 0.0000 0.0000 1
As1 0.0000 0.0000 0.5000 1
# ΔE_f (raw) (eV per atom): -1.516
# Energy above the most stable polymorph in this dataset (meV per atom): 0
# Uncorrected energy (eV for the cell shown): -80.348

Which of these has the highest uncorrected energy?
Y2TeAs

Which of these has the highest uncorrected energy?
Y2TeAs